Entry from the Alexandria database: a PBEsol-optimized structure of ZnRh5 (SCAN).

abc: 4.345 4.626 4.626
angles: 120.00 90.00 90.00
Sites, in units of the cell vectors:
Zn (0.500, 0.000, 0.000)
Rh (0.000, 0.334, 0.334)
Rh (0.000, 0.666, 0.000)
Rh (0.000, 0.000, 0.666)
Rh (0.500, 0.333, 0.667)
Rh (0.500, 0.667, 0.333)

## Properties
Formation energy from the elements = -0.0461 eV per atom
V = 80.5 Å³ per cell

***

Entry from the Alexandria database: a PBEsol-optimized structure of AlBi2HRu (SCAN).

abc: 3.454 5.080 5.080
angles: 90.00 90.00 90.00
Sites, in units of the cell vectors:
Ru (0.500, 0.000, 0.000)
Bi (0.000, 0.000, 0.500)
Bi (0.000, 0.500, 0.000)
H (0.000, 0.000, 0.000)
Al (0.500, 0.500, 0.500)

## Properties
V = 89.1 Å³ per cell
Calculated total energy = -40.16 eV/atom

***

Entry from the Alexandria database: a PBEsol-optimized structure of Cu2Sn2Sb (SCAN).

abc: 4.187 4.187 6.525
angles: 108.71 108.71 90.00
Sites, in units of the cell vectors:
Sb (0.000, 0.000, 0.000)
Sn (0.250, 0.750, 0.500)
Sn (0.750, 0.250, 0.500)
Cu (0.399, 0.399, 0.799)
Cu (0.601, 0.601, 0.201)

## Properties
Formation energy (no corrections) = 0.315 eV/atom
V = 101.9 Å³ per cell

***

Entry from the Alexandria database: a PBEsol-optimized structure of Cs2TcGeC (SCAN).

abc: 3.808 6.177 6.177
angles: 90.00 90.00 90.00
Sites, in units of the cell vectors:
Cs (0.000, 0.000, 0.500)
Cs (0.000, 0.500, 0.000)
C (0.500, 0.000, 0.000)
Ge (0.500, 0.500, 0.500)
Tc (0.000, 0.000, 0.000)

## Properties
Formation energy from the elements = 1.2437 eV per atom
V = 145.3 Å³ per cell

***

Entry from the Alexandria database: a PBEsol-optimized structure of SbRhBr2 (SCAN).

abc: 3.134 3.134 8.950
angles: 90.00 90.00 90.00
Sites, in units of the cell vectors:
Sb (0.500, 0.500, 0.500)
Rh (0.500, 0.500, 0.000)
Br (0.000, 0.000, 0.821)
Br (0.000, 0.000, 0.179)

## Properties
Formation energy (no corrections) = 0.492 eV/atom
V = 87.9 Å³ per cell
Offset from the most stable computed form = 1.026 eV per atom

***

Entry from the Alexandria database: a PBEsol-optimized structure of SrY2O4 (SCAN).

abc: 3.393 9.984 11.836
angles: 90.00 90.00 90.00
Sites, in units of the cell vectors:
Sr (0.250, 0.248, 0.650)
Sr (0.750, 0.752, 0.350)
Sr (0.250, 0.748, 0.850)
Sr (0.750, 0.252, 0.150)
Y (0.750, 0.924, 0.611)
Y (0.250, 0.076, 0.389)
Y (0.750, 0.424, 0.889)
Y (0.250, 0.576, 0.111)
Y (0.250, 0.579, 0.612)
Y (0.750, 0.421, 0.388)
Y (0.250, 0.079, 0.888)
Y (0.750, 0.921, 0.112)
O (0.750, 0.926, 0.922)
O (0.250, 0.074, 0.078)
O (0.750, 0.426, 0.578)
O (0.250, 0.574, 0.422)
O (0.750, 0.014, 0.284)
O (0.250, 0.986, 0.716)
O (0.750, 0.514, 0.216)
O (0.250, 0.486, 0.784)
O (0.750, 0.627, 0.981)
O (0.250, 0.373, 0.019)
O (0.750, 0.127, 0.519)
O (0.250, 0.873, 0.481)
O (0.250, 0.788, 0.176)
O (0.750, 0.212, 0.824)
O (0.250, 0.288, 0.324)
O (0.750, 0.712, 0.676)

## Properties
Formation energy (no corrections) = -3.684 eV/atom
V = 401.0 Å³ per cell

***

Entry from the Alexandria database: a PBEsol-optimized structure of SrCrPt2 (SCAN).

abc: 3.193 3.193 7.200
angles: 90.00 90.00 90.00
Sites, in units of the cell vectors:
Cr (0.500, 0.500, 0.500)
Pt (0.000, 0.000, 0.691)
Pt (0.000, 0.000, 0.309)
Sr (0.500, 0.500, 0.000)

## Properties
Formation energy from the elements = -0.4697 eV per atom
V = 73.4 Å³ per cell
Offset from the most stable computed form = 0.000 eV per atom

***

Entry from the Alexandria database: a PBEsol-optimized structure of Co2AgIr (SCAN).

abc: 2.648 4.492 4.492
angles: 106.27 90.00 90.00
Sites, in units of the cell vectors:
Ir (0.500, 0.000, 0.000)
Co (0.000, 0.500, 0.000)
Co (0.000, 0.000, 0.500)
Ag (0.500, 0.500, 0.500)

## Properties
Formation energy from the elements = 0.2726 eV per atom
V = 51.3 Å³ per cell

***

Entry from the Alexandria database: a PBEsol-optimized structure of Be4CoSi (SCAN).

abc: 4.140 4.140 4.140
angles: 60.00 60.00 60.00
Sites, in units of the cell vectors:
Be (0.376, 0.376, 0.376)
Be (0.376, 0.376, 0.872)
Be (0.872, 0.376, 0.376)
Be (0.376, 0.872, 0.376)
Si (0.000, 0.000, 0.000)
Co (0.750, 0.750, 0.750)

## Properties
Formation energy (no corrections) = -0.163 eV/atom
V = 50.2 Å³ per cell

***

Entry from the Alexandria database: a PBEsol-optimized structure of Al2Zn2Bi (SCAN).

abc: 3.192 7.718 7.718
angles: 90.00 90.00 90.00
Sites, in units of the cell vectors:
Zn (0.000, 0.382, 0.882)
Zn (0.000, 0.882, 0.618)
Zn (0.000, 0.618, 0.118)
Zn (0.000, 0.118, 0.382)
Bi (0.000, 0.000, 0.000)
Bi (0.000, 0.500, 0.500)
Al (0.500, 0.175, 0.675)
Al (0.500, 0.675, 0.825)
Al (0.500, 0.825, 0.325)
Al (0.500, 0.325, 0.175)

## Properties
Formation energy from the elements = 0.2117 eV per atom
V = 190.1 Å³ per cell

***

Entry from the Alexandria database: a PBEsol-optimized structure of ZnMoN2 (SCAN).

abc: 2.897 2.897 11.410
angles: 90.00 90.00 120.00
Sites, in units of the cell vectors:
Mo (0.333, 0.667, 0.392)
Mo (0.667, 0.333, 0.892)
Zn (0.333, 0.667, 0.162)
Zn (0.667, 0.333, 0.662)
N (0.667, 0.333, 0.498)
N (0.667, 0.333, 0.277)
N (0.333, 0.667, 0.998)
N (0.333, 0.667, 0.777)

## Properties
Formation energy (no corrections) = -0.420 eV/atom
V = 82.9 Å³ per cell

***

Entry from the Alexandria database: a PBEsol-optimized structure of BaLi2Ru (SCAN).

abc: 3.641 5.082 5.428
angles: 117.92 109.60 90.00
Sites, in units of the cell vectors:
Ba (0.229, 0.729, 0.457)
Li (0.014, 0.014, 0.029)
Li (0.776, 0.276, 0.552)
Ru (0.481, 0.481, 0.962)

## Properties
Formation energy from the elements = 0.5322 eV per atom
V = 82.1 Å³ per cell
Offset from the most stable computed form = 0.028 eV per atom

***

Entry from the Alexandria database: a PBEsol-optimized structure of VSnP2O8 (SCAN).

abc: 4.897 6.182 10.710
angles: 90.00 78.22 90.00
Sites, in units of the cell vectors:
V (0.846, 0.750, 0.203)
V (0.154, 0.250, 0.797)
Sn (0.692, 0.750, 0.699)
Sn (0.308, 0.250, 0.301)
P (0.115, 0.750, 0.904)
P (0.885, 0.250, 0.096)
P (0.813, 0.250, 0.628)
P (0.187, 0.750, 0.372)
O (0.906, 0.250, 0.948)
O (0.094, 0.750, 0.052)
O (0.820, 0.750, 0.879)
O (0.180, 0.250, 0.121)
O (0.493, 0.250, 0.680)
O (0.507, 0.750, 0.320)
O (0.119, 0.750, 0.513)
O (0.881, 0.250, 0.487)
O (0.286, 0.954, 0.848)
O (0.286, 0.546, 0.848)
O (0.714, 0.454, 0.152)
O (0.714, 0.046, 0.152)
O (0.949, 0.064, 0.698)
O (0.949, 0.436, 0.698)
O (0.051, 0.936, 0.302)
O (0.051, 0.564, 0.302)

## Properties
Formation energy (no corrections) = -2.247 eV/atom
V = 317.4 Å³ per cell

***

Entry from the Alexandria database: a PBEsol-optimized structure of CoHgPt2 (SCAN).

abc: 2.795 2.795 7.679
angles: 90.00 90.00 90.00
Sites, in units of the cell vectors:
Co (0.000, 0.000, 0.481)
Hg (0.500, 0.500, 0.734)
Pt (0.000, 0.000, 0.013)
Pt (0.500, 0.500, 0.272)

## Properties
Formation energy from the elements = 0.1086 eV per atom
V = 60.0 Å³ per cell

***

Entry from the Alexandria database: a PBEsol-optimized structure of K2Hg (SCAN).

abc: 4.722 5.994 9.063
angles: 90.00 105.10 90.00
Sites, in units of the cell vectors:
K (0.439, 0.250, 0.879)
K (0.561, 0.750, 0.121)
K (0.750, 0.250, 0.499)
K (0.250, 0.750, 0.501)
Hg (0.103, 0.250, 0.207)
Hg (0.897, 0.750, 0.793)

## Properties
Formation energy from the elements = -0.1550 eV per atom
V = 247.7 Å³ per cell
Offset from the most stable computed form = 0.051 eV per atom

***

Entry from the Alexandria database: a PBEsol-optimized structure of IrPt3 (SCAN).

abc: 2.765 3.875 5.506
angles: 90.00 90.00 90.00
Sites, in units of the cell vectors:
Ir (0.000, 0.000, 0.000)
Pt (0.000, 0.000, 0.500)
Pt (0.500, 0.500, 0.245)
Pt (0.500, 0.500, 0.755)

## Properties
Formation energy from the elements = 0.0938 eV per atom
V = 59.0 Å³ per cell

***

Entry from the Alexandria database: a PBEsol-optimized structure of YTiNF2 (SCAN).

abc: 4.151 4.151 4.666
angles: 90.00 90.00 90.00
Sites, in units of the cell vectors:
Y (0.000, 0.000, 0.000)
N (0.000, 0.000, 0.500)
F (0.000, 0.500, 0.000)
F (0.500, 0.000, 0.000)
Ti (0.500, 0.500, 0.500)

## Properties
Formation energy (no corrections) = -1.858 eV/atom
V = 80.4 Å³ per cell

***

Entry from the Alexandria database: a PBEsol-optimized structure of MnReAg (SCAN).

abc: 2.688 2.688 6.721
angles: 90.00 90.00 120.00
Sites, in units of the cell vectors:
Ag (0.000, 0.000, 0.990)
Mn (0.333, 0.667, 0.649)
Re (0.667, 0.333, 0.362)

## Properties
Formation energy from the elements = 0.4431 eV per atom
V = 42.0 Å³ per cell
Offset from the most stable computed form = 0.000 eV per atom

***

Entry from the Alexandria database: a PBEsol-optimized structure of MgFeIr (SCAN).

abc: 2.989 2.987 5.232
angles: 106.59 106.60 90.00
Sites, in units of the cell vectors:
Fe (0.014, 0.014, 0.028)
Ir (0.652, 0.652, 0.305)
Mg (0.333, 0.333, 0.667)

## Properties
Formation energy from the elements = -0.1948 eV per atom
V = 42.7 Å³ per cell

***

Entry from the Alexandria database: a PBEsol-optimized structure of CdReCl2 (SCAN).

abc: 3.107 5.768 5.768
angles: 65.64 74.38 74.38
Sites, in units of the cell vectors:
Re (0.511, 0.489, 0.489)
Cl (0.031, 0.969, 0.969)
Cl (0.200, 0.300, 0.300)
Cd (0.758, 0.742, 0.742)

## Properties
Formation energy (no corrections) = 0.387 eV/atom
V = 89.2 Å³ per cell
Offset from the most stable computed form = 0.000 eV per atom

***

Entry from the Alexandria database: a PBEsol-optimized structure of In2HgSe (SCAN).

abc: 4.044 5.232 5.217
angles: 110.55 90.00 90.00
Sites, in units of the cell vectors:
Hg (0.500, 0.259, 0.741)
Se (0.000, 0.509, 0.492)
In (0.000, 0.003, 0.998)
In (0.500, 0.729, 0.270)

## Properties
Formation energy (no corrections) = -0.202 eV/atom
V = 103.4 Å³ per cell
Offset from the most stable computed form = 0.080 eV per atom

***

Entry from the Alexandria database: a PBEsol-optimized structure of Mo2As (SCAN).

abc: 4.325 4.325 6.072
angles: 90.00 90.00 120.00
Sites, in units of the cell vectors:
As (0.000, 0.000, 0.750)
As (0.000, 0.000, 0.250)
Mo (0.333, 0.667, 0.546)
Mo (0.667, 0.333, 0.046)
Mo (0.667, 0.333, 0.454)
Mo (0.333, 0.667, 0.954)

## Properties
Formation energy from the elements = 0.5144 eV per atom
V = 98.4 Å³ per cell

***

Entry from the Alexandria database: a PBEsol-optimized structure of Eu2SeO2 (SCAN).

abc: 3.879 3.879 6.980
angles: 90.00 90.00 120.00
Sites, in units of the cell vectors:
Eu (0.667, 0.333, 0.707)
Eu (0.333, 0.667, 0.293)
Se (0.000, 0.000, 0.000)
O (0.667, 0.333, 0.372)
O (0.333, 0.667, 0.628)

## Properties
Formation energy (no corrections) = -2.664 eV/atom
V = 91.0 Å³ per cell

***

Entry from the Alexandria database: a PBEsol-optimized structure of HfV2O7 (SCAN).

abc: 8.865 8.865 8.865
angles: 90.00 90.00 90.00
Sites, in units of the cell vectors:
Hf (0.000, 0.500, 0.500)
Hf (0.500, 0.500, 0.000)
Hf (0.500, 0.000, 0.500)
Hf (0.000, 0.000, 0.000)
V (0.385, 0.115, 0.885)
V (0.115, 0.885, 0.385)
V (0.885, 0.385, 0.115)
V (0.615, 0.615, 0.615)
V (0.615, 0.885, 0.115)
V (0.885, 0.115, 0.615)
V (0.115, 0.615, 0.885)
V (0.385, 0.385, 0.385)
O (0.500, 0.000, 0.000)
O (0.000, 0.000, 0.500)
O (0.000, 0.500, 0.000)
O (0.500, 0.500, 0.500)
O (0.936, 0.203, 0.091)
O (0.436, 0.297, 0.909)
O (0.064, 0.703, 0.409)
O (0.297, 0.909, 0.436)
O (0.409, 0.064, 0.703)
O (0.909, 0.436, 0.297)
O (0.203, 0.091, 0.936)
O (0.091, 0.936, 0.203)
O (0.436, 0.203, 0.409)
O (0.409, 0.436, 0.203)
O (0.203, 0.409, 0.436)
O (0.297, 0.591, 0.936)
O (0.909, 0.064, 0.797)
O (0.797, 0.909, 0.064)
O (0.091, 0.564, 0.703)
O (0.591, 0.936, 0.297)
O (0.703, 0.091, 0.564)
O (0.936, 0.297, 0.591)
O (0.564, 0.703, 0.091)
O (0.064, 0.797, 0.909)
O (0.564, 0.797, 0.591)
O (0.591, 0.564, 0.797)
O (0.797, 0.591, 0.564)
O (0.703, 0.409, 0.064)

## Properties
Formation energy (no corrections) = -2.936 eV/atom
V = 696.6 Å³ per cell